[1]
Below is crystalline LiHfZnFe at its relaxed geometry, with properties calculated at the PBE level.

Cell lengths 4.318, 4.318, 4.318 Å; angles 60.00, 60.00, 60.00 degrees
Fractional positions:
Fe 0.750 0.750 0.750
Hf 0.500 0.500 0.500
Li 0.250 0.250 0.250
Zn 0.000 0.000 0.000

- calculated volume (Å³ per cell) = 56.9
- E (eV per atom) = -5.303
- SG = F-43m (216)


[2]
Below is crystalline LuHfFe2 at its relaxed geometry, with properties calculated at the PBE level.

Cell lengths 4.536, 4.536, 4.536 Å; angles 60.00, 60.00, 60.00 degrees
Each line ends with the local moment (μB).
Fractional positions:
Fe 0.000 0.000 0.000  2.08
Fe 0.250 0.250 0.250  2.34
Hf 0.750 0.750 0.750  -0.39
Lu 0.500 0.500 0.500  -0.24

- calculated volume (Å³ per cell) = 66.0
- E (eV per atom) = -7.510
- SG = F-43m (216)
- DFT formation energy (meV/atom) = 264


[3]
Below is crystalline Lu2HfFe at its relaxed geometry, with properties calculated at the PBE level.

Cell lengths 4.884, 4.884, 4.884 Å; angles 60.00, 60.00, 60.00 degrees
Fractional positions:
Fe 0.250 0.250 0.250
Hf 0.500 0.500 0.500
Lu 0.000 0.000 0.000
Lu 0.750 0.750 0.750

- calculated volume (Å³ per cell) = 82.4
- E (eV per atom) = -6.485
- SG = F-43m (216)
- DFT formation energy (meV/atom) = 343